PBE LiTlGaCl3, relaxed; formation energy without anion corrections = -1.126 eV/atom; M_tot = 0.00 μB/atom; uncorrected energy = -39.209 eV per cell; calculated density = 3.96 g cm⁻³
1.0
6.7330 0.3718 0.0000
1.8417 6.7283 0.0000
0.9208 3.3642 7.2845
Li Tl Ga Cl
2 2 2 6
Cartesian
5.9706 3.6430 6.5389
3.5249 6.8213 0.7456
2.6041 3.4571 3.7749
6.8915 7.0072 3.5096
3.5249 6.8213 6.1969
5.9706 3.6430 1.0876
5.7090 8.7484 6.4694
1.3409 4.8941 6.4694
5.9706 3.6430 4.1330
3.7866 1.7159 0.8151
8.1546 5.5702 0.8151
3.5249 6.8213 3.1515

PBE LiTl2GaCl4, relaxed; formation energy without anion corrections = -1.075 eV/atom; M_tot = 0.00 μB/atom; uncorrected energy = -51.320 eV per cell; calculated density = 4.59 g cm⁻³
1.0
-5.0838 -1.5392 6.7752
-4.7150 -5.4880 -4.6657
8.6304 -1.0375 0.6363
Li Tl Ga Cl
2 4 2 8
Cartesian
-0.5842 -4.0324 1.3729
3.5466 -2.5767 7.4115
-2.5419 -0.7696 3.3876
1.7733 -1.2883 3.7058
4.3152 -0.5187 0.3181
-4.8994 -3.5136 1.0548
-2.3575 -2.7440 -2.3328
-3.1261 -4.8019 4.7605
3.8497 -5.5607 -1.5604
-0.6799 -3.2692 3.9104
-0.4885 -4.7955 -1.1646
-5.0182 -2.5040 4.3064
1.0151 -6.2556 2.2729
-2.7723 -5.7915 1.9906
1.6039 -2.2733 0.7552
-2.1834 -1.8091 0.4729

PBE LiUGaCl6, relaxed; formation energy without anion corrections = -1.525 eV/atom; M_tot = 0.22 μB/atom; uncorrected energy = -82.070 eV per cell; calculated density = 3.32 g cm⁻³
1.0
6.7745 0.0000 0.0000
-3.3872 5.8669 0.0000
0.0000 0.0000 13.2778
Li U Ga Cl
2 2 2 12
Cartesian
0.0000 3.9113 3.3195
3.3872 1.9556 9.9584
3.3872 1.9556 3.3195
0.0000 3.9113 9.9584
0.0000 0.0000 0.0000
0.0000 0.0000 6.6389
2.1594 3.7466 1.8271
-1.2223 2.1235 1.8271
2.4501 0.0032 8.4660
4.6095 3.7434 11.4507
1.2223 2.1235 4.8118
-2.1594 3.7466 4.8118
4.3244 0.0032 11.4507
0.9371 5.8637 4.8118
5.5466 2.1202 8.4660
-0.9371 5.8637 1.8271
2.1650 3.7434 8.4660
1.2278 2.1202 11.4507

PBE Li2YGaCl6, relaxed; formation energy without anion corrections = -1.757 eV/atom; M_tot = 0.00 μB/atom; uncorrected energy = -41.971 eV per cell; calculated density = 2.55 g cm⁻³
1.0
6.8165 -0.0003 0.0004
3.4080 5.9027 0.0004
3.4082 1.9679 6.2248
Li Y Ga Cl
2 1 1 6
Cartesian
6.8158 3.9353 2.7371
3.4074 1.9677 5.9887
3.4084 1.9674 0.2354
10.2241 5.9020 3.6097
5.7499 1.9674 1.4965
5.6456 5.8417 1.4968
9.0530 3.9952 1.4966
7.5083 5.8354 4.7209
8.1163 2.3874 4.7202
4.8263 3.5843 4.7203

PBE Mg2Ga2Cl, relaxed; formation energy without anion corrections = -0.264 eV/atom; M_tot = 0.00 μB/atom; uncorrected energy = -12.407 eV per cell; calculated density = 3.39 g cm⁻³
1.0
3.7458 0.0000 0.0000
0.0000 3.7458 0.0000
1.8729 1.8729 7.7997
Mg Ga Cl
2 2 1
Cartesian
1.8729 1.8729 1.7244
3.7458 3.7458 6.0753
3.7458 1.8729 3.8998
1.8729 3.7458 3.8998
0.0000 0.0000 0.0000

PBE MgGa3Cl, relaxed; formation energy without anion corrections = 0.245 eV/atom; M_tot = 0.00 μB/atom; uncorrected energy = -11.297 eV per cell; calculated density = 3.04 g cm⁻³
1.0
-1.0757 4.6455 -2.2523
-2.2920 -2.4913 -4.0436
-4.6260 0.1541 2.5272
Mg Ga Cl
1 3 1
Cartesian
-3.9969 1.1541 -1.8844
-1.1460 -1.2456 -2.0218
-2.3130 0.0770 1.2636
-0.5379 2.3227 -1.1262
0.0000 0.0000 0.0000

PBE MgGaCl2, relaxed; formation energy without anion corrections = -0.829 eV/atom; M_tot = 0.00 μB/atom; uncorrected energy = -23.259 eV per cell; calculated density = 2.57 g cm⁻³
1.0
-1.8354 -6.0157 4.6093
0.3638 -4.8070 -6.1289
2.6694 -5.9636 -0.1246
Mg Ga Cl
2 2 4
Cartesian
-0.7358 -5.4113 -0.7598
1.1487 -8.0909 -3.5066
0.0000 0.0000 0.0000
0.0491 -8.6953 1.8624
-0.2496 -5.2463 1.6198
0.4806 -5.8525 -2.8218
1.4868 -9.0148 -1.2799
0.6778 -13.4588 -0.8064

PBE Mg2Ga2Cl, relaxed; formation energy without anion corrections = -0.359 eV/atom; M_tot = 0.00 μB/atom; uncorrected energy = -25.769 eV per cell; calculated density = 3.49 g cm⁻³
1.0
-4.5831 2.7242 5.9171
4.4536 -3.9693 5.2771
2.0004 2.6701 0.3201
Mg Ga Cl
4 4 2
Cartesian
2.1870 -2.3678 6.0836
-0.6190 -0.5473 8.4326
-2.3165 1.1228 5.1106
0.4895 -0.6978 2.7616
3.2128 -0.7861 4.0260
2.1714 -0.5382 8.4659
-1.3419 2.2111 7.4883
-0.3005 1.9632 3.0484
0.0000 0.0000 0.0000
-0.0647 -0.6225 5.5971

PBE MgGaCl3, relaxed; formation energy without anion corrections = -1.392 eV/atom; M_tot = 0.00 μB/atom; uncorrected energy = -68.485 eV per cell; calculated density = 2.59 g cm⁻³
1.0
3.7409 0.0000 0.0000
0.0000 9.3232 0.0000
0.0000 0.0000 14.7618
Mg Ga Cl
4 4 12
Cartesian
0.9352 6.1199 8.1264
2.8057 3.2033 6.6354
2.8057 7.8650 0.7455
0.9352 1.4583 14.0163
0.9352 0.2136 4.8874
2.8057 9.1096 9.8744
2.8057 4.4480 12.2683
0.9352 4.8752 2.4935
2.8057 2.1623 4.3843
0.9352 6.3578 14.7591
0.9352 0.1654 1.4390
0.9352 4.8270 5.9419
0.9352 1.6962 7.3836
2.8057 4.4962 8.8199
0.9352 2.4993 11.7652
2.8057 9.1578 13.3229
2.8057 2.9654 0.0027
2.8057 6.8239 2.9966
2.8057 7.6270 7.3782
0.9352 7.1609 10.3775

PBE MgGa6Cl12, relaxed; formation energy without anion corrections = -1.048 eV/atom; M_tot = 0.00 μB/atom; uncorrected energy = -61.829 eV per cell; calculated density = 2.37 g cm⁻³
1.0
2.5416 -8.3256 -3.6489
7.3057 -6.6623 4.2681
-3.5489 -7.4965 2.6075
Mg Ga Cl
1 6 12
Cartesian
0.0000 0.0000 0.0000
-0.3077 -6.3205 1.8576
2.6876 -15.0476 1.8528
5.0339 -14.7795 2.6804
6.6061 -16.1640 1.3691
3.6108 -7.4369 1.3739
1.2645 -7.7050 0.5463
0.8448 -9.8440 0.5668
2.9577 -9.2336 3.6702
5.1255 -9.1074 0.8292
5.4536 -12.6405 2.6599
3.3407 -13.2509 -0.4435
1.1729 -13.3771 2.3975
-2.4465 -5.4534 1.8220
4.6974 -15.4416 4.9047
1.5404 -16.2305 0.0345
8.7449 -17.0311 1.4047
1.6010 -7.0429 -1.6780
4.7580 -6.2540 3.1922

PBE MgGaCl3, relaxed; formation energy without anion corrections = -1.315 eV/atom; M_tot = 0.00 μB/atom; uncorrected energy = -16.735 eV per cell; calculated density = 2.71 g cm⁻³
1.0
4.9703 0.0000 0.0000
0.0000 4.9703 0.0000
0.0000 0.0000 4.9703
Mg Ga Cl
1 1 3
Cartesian
0.0000 0.0000 0.0000
2.4851 2.4851 2.4851
0.0000 2.4851 0.0000
0.0000 0.0000 2.4851
2.4851 0.0000 0.0000

PBE MgGaCl3, relaxed; formation energy without anion corrections = -0.643 eV/atom; M_tot = 0.17 μB/atom; uncorrected energy = -13.376 eV per cell; calculated density = 2.57 g cm⁻³
1.0
-4.3290 2.2587 1.3299
-1.9654 -4.4960 1.2385
1.7342 0.5430 4.7232
Mg Ga Cl
1 1 3
Cartesian
-2.2801 -0.8472 3.6458
0.0000 0.0000 0.0000
-0.9827 -2.2480 0.6192
0.8671 0.2715 2.3616
-2.1645 1.1294 0.6649

PBE MgGaCl3, relaxed; formation energy without anion corrections = -1.371 eV/atom; M_tot = 0.00 μB/atom; uncorrected energy = -34.037 eV per cell; calculated density = 2.43 g cm⁻³
1.0
-1.2638 3.3002 1.1980
-2.7331 -3.8067 7.6037
7.9861 2.4907 1.5636
Mg Ga Cl
2 2 6
Cartesian
0.4009 -1.4063 7.2030
3.5883 3.3905 3.1623
0.0226 -0.2664 3.6636
3.9666 2.2506 6.7017
0.6341 1.0178 6.5822
3.3551 0.9663 3.7831
5.5509 3.5659 4.7497
2.3280 -1.2686 8.8564
-1.5617 -1.5817 5.6156
1.6612 3.2527 1.5088

PBE MgGaCl2, relaxed; formation energy without anion corrections = -0.620 eV/atom; M_tot = 0.00 μB/atom; uncorrected energy = -10.794 eV per cell; calculated density = 3.01 g cm⁻³
1.0
0.0000 3.5711 3.5711
3.5711 0.0000 3.5711
3.5711 3.5711 0.0000
Mg Ga Cl
1 1 2
Cartesian
0.0000 0.0000 0.0000
3.5711 3.5711 3.5711
1.7856 1.7856 1.7856
5.3567 5.3567 5.3567

PBE MgGa3Cl, relaxed; formation energy without anion corrections = 0.211 eV/atom; M_tot = 0.00 μB/atom; uncorrected energy = -11.465 eV per cell; calculated density = 3.09 g cm⁻³
1.0
5.2451 0.0000 0.0000
0.0000 5.2451 0.0000
0.0000 0.0000 5.2451
Mg Ga Cl
1 3 1
Cartesian
0.0000 0.0000 0.0000
0.0000 2.6226 0.0000
0.0000 0.0000 2.6226
2.6226 0.0000 0.0000
2.6226 2.6226 2.6226

PBE MgGaNCl2, relaxed; formation energy without anion corrections = 0.040 eV/atom; M_tot = 0.00 μB/atom; uncorrected energy = -16.442 eV per cell; calculated density = 2.79 g cm⁻³
1.0
-4.5256 -2.6906 0.2362
1.7472 -2.7621 2.0143
-1.2418 2.4819 4.4804
Mg N Ga Cl
1 1 1 2
Cartesian
0.8736 -1.3810 1.0072
0.0000 0.0000 0.0000
-2.0101 -1.4854 3.3654
-0.6209 1.2410 2.2402
-2.2628 -1.3453 0.1181

PBE NaMgGaCl6, relaxed; formation energy without anion corrections = -1.487 eV/atom; M_tot = 0.00 μB/atom; uncorrected energy = -60.806 eV per cell; calculated density = 2.50 g cm⁻³
1.0
6.3640 0.0000 0.0000
-3.1820 5.5114 0.0000
0.0000 0.0000 12.4736
Na Mg Ga Cl
2 2 2 12
Cartesian
0.0000 0.0000 0.0000
0.0000 0.0000 6.2368
0.0000 3.6743 3.1184
3.1820 1.8371 9.3552
3.1820 1.8371 3.1184
0.0000 3.6743 9.3552
2.0895 3.4695 1.7342
5.1420 1.9671 1.7342
-0.8674 5.4366 7.9710
-1.9600 3.5443 10.7394
1.2220 1.9671 4.5026
4.2745 3.4695 4.5026
0.8674 5.4366 10.7394
4.0495 0.0748 4.5026
-1.0925 2.0419 7.9710
2.3146 0.0748 1.7342
1.9600 3.5443 7.9710
1.0925 2.0419 10.7394

PBE NaMgGa2Cl8, relaxed; formation energy without anion corrections = -1.214 eV/atom; M_tot = 0.06 μB/atom; uncorrected energy = -38.303 eV per cell; calculated density = 2.35 g cm⁻³
1.0
-5.1218 4.0172 1.1025
-1.0177 -6.4432 -1.0177
0.7025 -1.4757 8.6406
Na Mg Ga Cl
1 1 2 8
Cartesian
0.0000 0.0000 0.0000
0.3512 -0.7379 4.3203
-3.5702 0.1448 2.6535
-1.8668 -4.0465 6.0719
-1.6889 -4.4203 8.2604
-1.6456 -1.2038 2.8315
-3.3443 2.3048 3.5688
-3.7481 0.5186 0.4650
-2.0927 -6.2065 5.1566
-3.7914 -2.6979 5.8939
0.1507 -2.9557 5.5294
-5.5877 -0.9460 3.1960

PBE MgGaCl2O, relaxed; formation energy without anion corrections = 0.141 eV/atom; M_tot = 0.00 μB/atom; uncorrected energy = -12.570 eV per cell; calculated density = 2.25 g cm⁻³
1.0
-1.7574 -4.1279 -0.6312
-0.3198 -0.8491 6.4425
-4.1699 1.7712 0.0264
Mg O Ga Cl
1 1 1 2
Cartesian
-0.1599 -0.4245 3.2212
-3.1235 -1.6029 2.9188
0.0000 0.0000 0.0000
-2.0850 0.8856 0.0132
-0.8787 -2.0639 -0.3156

PBE RbMgGaCl4, relaxed; formation energy without anion corrections = -1.550 eV/atom; M_tot = 0.00 μB/atom; uncorrected energy = -47.652 eV per cell; calculated density = 2.22 g cm⁻³
1.0
7.7928 0.0000 -0.0513
0.0000 7.3096 0.0000
-3.1112 0.0000 8.4483
Rb Mg Ga Cl
2 2 2 8
Cartesian
2.6963 5.4822 8.1098
1.9853 1.8274 0.2872
1.1113 5.4822 2.6235
3.5703 1.8274 5.7735
4.6040 5.4822 4.1567
0.0776 1.8274 4.2403
4.9975 3.6614 6.2212
-0.3159 0.0066 2.1758
-0.3159 3.6482 2.1758
4.9975 7.3031 6.2212
2.8638 5.4822 1.0883
1.8178 1.8274 7.3087
1.9095 5.4822 4.8371
2.7721 1.8274 3.5599

PBE RbMgGa2Cl8, relaxed; formation energy without anion corrections = -1.303 eV/atom; M_tot = 0.07 μB/atom; uncorrected energy = -39.020 eV per cell; calculated density = 2.54 g cm⁻³
1.0
-5.9156 -0.9114 -2.5700
-4.8634 -2.2143 3.7249
-5.9387 7.8737 2.6224
Rb Mg Ga Cl
1 1 2 8
Cartesian
-8.3588 2.3740 1.8886
0.0000 0.0000 0.0000
-4.1078 0.9146 0.8760
-12.6099 3.8334 2.9013
-4.6652 3.0336 1.4077
-6.0065 0.0682 -0.2155
-12.0524 1.7144 2.3695
-9.5731 -1.0176 0.3719
-7.1446 5.7656 3.4054
-7.0900 -1.0774 3.2135
-9.6277 5.8254 0.5637
-10.7112 4.6798 3.9927

PBE MgGaS2Cl, relaxed; formation energy without anion corrections = -0.340 eV/atom; M_tot = 0.00 μB/atom; uncorrected energy = -16.424 eV per cell; calculated density = 2.99 g cm⁻³
1.0
4.7602 0.0000 0.0000
0.0000 4.7602 0.0000
0.0000 0.0000 4.7485
S Mg Ga Cl
2 1 1 1
Cartesian
0.0000 2.3801 0.0000
2.3801 0.0000 0.0000
2.3801 2.3801 2.3743
0.0000 0.0000 0.0000
0.0000 0.0000 2.3743